Entry 1:
Below is a relaxed structure of Nd5NpS8, with properties calculated at the PBE level.

Its space group is I-4. As for the volume: 22.31 Å³/atom.

Geometry as POSCAR:
```
Nd5NpS8
1.0
-4.2794 4.2794 4.2638
4.2794 -4.2794 4.2638
4.2794 4.2794 -4.2638
Nd Np S
5 1 8
direct
0.0000 0.0000 0.0000 Nd
0.2523 0.6286 0.1259 Nd
0.3714 0.4973 0.6238 Nd
0.5027 0.1264 0.8741 Nd
0.8736 0.7477 0.3762 Nd
0.7500 0.2500 0.5000 Np
0.1204 0.2245 0.7484 S
0.1247 0.7233 0.7497 S
0.2767 0.0264 0.4014 S
0.4760 0.3720 0.2516 S
0.6250 0.8753 0.5986 S
0.6280 0.8796 0.1041 S
0.7755 0.5240 0.8959 S
0.9736 0.3750 0.2503 S
```



Entry 2:
Below is a relaxed structure of NdNp3S4, with properties calculated at the PBE level.

Its space group is Cmmm. As for the volume: 21.76 Å³/atom.

Geometry as POSCAR:
```
NdNp3S4
1.0
3.9542 -5.5824 0.0000
3.9542 5.5824 0.0000
0.0000 0.0000 3.9422
Nd Np S
1 3 4
direct
0.0000 0.0000 0.0000 Nd
0.0000 0.5000 0.5000 Np
0.5000 0.0000 0.5000 Np
0.5000 0.5000 0.0000 Np
0.2560 0.7440 0.0000 S
0.2606 0.2606 0.5000 S
0.7394 0.7394 0.5000 S
0.7440 0.2560 0.0000 S
```



Entry 3:
Below is a relaxed structure of Nd6NpS8, with properties calculated at the PBE level.

Its space group is Fm-3m. As for the volume: 25.16 Å³/atom.

Geometry as POSCAR:
```
Nd6NpS8
1.0
0.0000 5.7360 5.7360
5.7360 0.0000 5.7360
5.7360 5.7360 0.0000
Nd Np S
6 1 8
direct
0.0000 0.0000 0.5000 Nd
0.0000 0.5000 0.0000 Nd
0.0000 0.5000 0.5000 Nd
0.5000 0.0000 0.0000 Nd
0.5000 0.0000 0.5000 Nd
0.5000 0.5000 0.0000 Nd
0.0000 0.0000 0.0000 Np
0.2446 0.2446 0.7554 S
0.2446 0.7554 0.2446 S
0.2446 0.7554 0.7554 S
0.2500 0.2500 0.2500 S
0.7500 0.7500 0.7500 S
0.7554 0.2446 0.2446 S
0.7554 0.2446 0.7554 S
0.7554 0.7554 0.2446 S
```



Entry 4:
Below is a relaxed structure of Nd3Np2S8, with properties calculated at the PBE level.

Its space group is Cmmm. As for the volume: 23.89 Å³/atom.

Geometry as POSCAR:
```
Nd3Np2S8
1.0
4.8725 -6.7879 0.0000
4.8725 6.7879 0.0000
0.0000 0.0000 4.6952
Nd Np S
3 2 8
direct
0.0000 0.0000 0.0000 Nd
0.2853 0.2853 0.5000 Nd
0.7147 0.7147 0.5000 Nd
0.2617 0.7383 0.0000 Np
0.7383 0.2617 0.0000 Np
0.1154 0.3708 0.0000 S
0.1240 0.8760 0.5000 S
0.3668 0.6332 0.5000 S
0.3708 0.1154 0.0000 S
0.6292 0.8846 0.0000 S
0.6332 0.3668 0.5000 S
0.8760 0.1240 0.5000 S
0.8846 0.6292 0.0000 S
```



Entry 5:
Below is a relaxed structure of NdNp3S6, with properties calculated at the PBE level.

Its space group is P2_1/m. As for the volume: 21.66 Å³/atom.

Geometry as POSCAR:
```
NdNp3S6
1.0
10.9611 0.0000 0.0000
0.0000 3.6279 0.0000
-1.2464 0.0000 10.8956
Nd Np S
2 6 12
direct
0.1551 0.2500 0.1009 Nd
0.8449 0.7500 0.8991 Nd
0.1033 0.2500 0.7066 Np
0.1483 0.7500 0.5649 Np
0.4762 0.2500 0.3208 Np
0.5238 0.7500 0.6792 Np
0.8517 0.2500 0.4351 Np
0.8967 0.7500 0.2934 Np
0.0933 0.2500 0.3737 S
0.1034 0.7500 0.8965 S
0.3221 0.7500 0.1924 S
0.3424 0.2500 0.7142 S
0.3690 0.7500 0.4656 S
0.4659 0.7500 0.9528 S
0.5341 0.2500 0.0472 S
0.6310 0.2500 0.5344 S
0.6576 0.7500 0.2858 S
0.6779 0.2500 0.8076 S
0.8966 0.2500 0.1035 S
0.9067 0.7500 0.6263 S
```



Entry 6:
Below is a relaxed structure of Nd3NpS6, with properties calculated at the PBE level.

Its space group is P2_1/m. As for the volume: 25.36 Å³/atom.

Geometry as POSCAR:
```
Nd3NpS6
1.0
11.3270 0.0000 0.0000
0.0000 4.0714 0.0000
-3.5598 0.0000 10.9972
Nd Np S
6 2 12
direct
0.0752 0.2500 0.1691 Nd
0.1821 0.7500 0.5058 Nd
0.3393 0.2500 0.9195 Nd
0.6607 0.7500 0.0805 Nd
0.8179 0.2500 0.4942 Nd
0.9248 0.7500 0.8309 Nd
0.4552 0.2500 0.3145 Np
0.5448 0.7500 0.6855 Np
0.0230 0.2500 0.3875 S
0.0962 0.2500 0.9302 S
0.2541 0.7500 0.2811 S
0.3156 0.7500 0.7511 S
0.3931 0.2500 0.5414 S
0.4180 0.7500 0.1041 S
0.5820 0.2500 0.8959 S
0.6069 0.7500 0.4586 S
0.6844 0.2500 0.2489 S
0.7459 0.2500 0.7189 S
0.9038 0.7500 0.0698 S
0.9770 0.7500 0.6125 S
```



Entry 7:
Below is a relaxed structure of Nd2NpS3, with properties calculated at the PBE level.

Its space group is C2/m. As for the volume: 22.93 Å³/atom.

Geometry as POSCAR:
```
Nd2NpS3
1.0
3.4801 -6.0272 0.0000
3.4801 6.0272 0.0000
-2.3162 0.0000 6.5584
Nd Np S
4 2 6
direct
0.0000 0.0000 0.0000 Nd
0.1634 0.8366 0.5000 Nd
0.5000 0.5000 0.5000 Nd
0.8366 0.1634 0.5000 Nd
0.3331 0.6669 0.0000 Np
0.6669 0.3331 0.0000 Np
0.0809 0.4222 0.2415 S
0.2623 0.2623 0.7613 S
0.4222 0.0809 0.2415 S
0.5778 0.9191 0.7585 S
0.7377 0.7377 0.2387 S
0.9191 0.5778 0.7585 S
```



Entry 8:
Below is a relaxed structure of NdNp4S6, with properties calculated at the PBE level.

Its space group is Cmcm. As for the volume: 22.68 Å³/atom.

Geometry as POSCAR:
```
NdNp4S6
1.0
1.9480 -6.4575 0.0000
1.9480 6.4575 0.0000
0.0000 0.0000 19.8304
Nd Np S
2 8 12
direct
0.1556 0.8444 0.7500 Nd
0.8444 0.1556 0.2500 Nd
0.0925 0.9075 0.1266 Np
0.0925 0.9075 0.3734 Np
0.3625 0.6375 0.0408 Np
0.3625 0.6375 0.4592 Np
0.6375 0.3625 0.5408 Np
0.6375 0.3625 0.9592 Np
0.9075 0.0925 0.6266 Np
0.9075 0.0925 0.8734 Np
0.0000 0.0000 0.0000 S
0.0000 0.0000 0.5000 S
0.1846 0.8154 0.2500 S
0.2697 0.7303 0.5880 S
0.2697 0.7303 0.9120 S
0.4539 0.5461 0.1664 S
0.4539 0.5461 0.3336 S
0.5461 0.4539 0.6664 S
0.5461 0.4539 0.8336 S
0.7303 0.2697 0.0880 S
0.7303 0.2697 0.4120 S
0.8154 0.1846 0.7500 S
```



Entry 9:
Below is a relaxed structure of NdNp4S7, with properties calculated at the PBE level.

Its space group is Cm. As for the volume: 23.54 Å³/atom.

Geometry as POSCAR:
```
NdNp4S7
1.0
6.5235 -1.9430 0.0000
6.5235 1.9430 0.0000
-2.9304 0.0000 11.1429
Nd Np S
1 4 7
direct
0.0000 0.0000 0.0000 Nd
0.1190 0.1190 0.4251 Np
0.2319 0.2319 0.8408 Np
0.4183 0.4183 0.6082 Np
0.8188 0.8188 0.2441 Np
0.0725 0.0725 0.6379 S
0.1633 0.1633 0.2113 S
0.3713 0.3713 0.0740 S
0.4639 0.4639 0.3734 S
0.6177 0.6177 0.9151 S
0.7740 0.7740 0.4746 S
0.8492 0.8492 0.7660 S
```



Entry 10:
Below is a relaxed structure of Nd6NpS12, with properties calculated at the PBE level.

Its space group is R-3. As for the volume: 26.43 Å³/atom.

Geometry as POSCAR:
```
Nd6NpS12
1.0
6.0992 3.5214 3.8962
-6.0992 3.5214 3.8962
0.0000 -7.0428 3.8962
Nd Np S
6 1 12
direct
0.1340 0.6439 0.8195 Nd
0.1805 0.8660 0.3561 Nd
0.3561 0.1805 0.8660 Nd
0.6439 0.8195 0.1340 Nd
0.8195 0.1340 0.6439 Nd
0.8660 0.3561 0.1805 Nd
0.5000 0.5000 0.5000 Np
0.0706 0.3234 0.9162 S
0.0838 0.9294 0.6766 S
0.1854 0.5260 0.4358 S
0.3234 0.9162 0.0706 S
0.4358 0.1854 0.5260 S
0.4740 0.5642 0.8146 S
0.5260 0.4358 0.1854 S
0.5642 0.8146 0.4740 S
0.6766 0.0838 0.9294 S
0.8146 0.4740 0.5642 S
0.9162 0.0706 0.3234 S
0.9294 0.6766 0.0838 S
```



Entry 11:
Below is a relaxed structure of NdNpSeS2, with properties calculated at the PBE level.

Its space group is I4mm. As for the volume: 25.87 Å³/atom.

Geometry as POSCAR:
```
NdNpSeS2
1.0
-2.1880 2.1880 6.7537
2.1880 -2.1880 6.7537
2.1880 2.1880 -6.7537
Nd Np Se S
1 1 1 2
direct
0.0000 0.0000 0.0000 Nd
0.2631 0.2631 0.0000 Np
0.6292 0.6292 0.0000 Se
0.3756 0.8756 0.5000 S
0.8756 0.3756 0.5000 S
```



Entry 12:
Below is a relaxed structure of NdSm2NpS4, with properties calculated at the PBE level.

Its space group is P2/m. As for the volume: 22.67 Å³/atom.

Geometry as POSCAR:
```
NdSm2NpS4
1.0
6.9308 0.0000 0.0000
0.0000 3.9947 0.0000
-2.2992 0.0000 6.5505
Nd Sm Np S
1 2 1 4
direct
0.0000 0.0000 0.0000 Nd
0.5000 0.0000 0.5000 Sm
0.5000 0.5000 0.0000 Sm
0.0000 0.5000 0.5000 Np
0.2458 0.0000 0.7426 S
0.2511 0.5000 0.2558 S
0.7489 0.5000 0.7442 S
0.7542 0.0000 0.2574 S
```



Entry 13:
Below is a relaxed structure of TbNdNp2S4, with properties calculated at the PBE level.

Its space group is P2/m. As for the volume: 21.86 Å³/atom.

Geometry as POSCAR:
```
TbNdNp2S4
1.0
6.8284 0.0000 0.0000
0.0000 3.9533 0.0000
-2.2851 0.0000 6.4797
Tb Nd Np S
1 1 2 4
direct
0.0000 0.0000 0.0000 Tb
0.0000 0.5000 0.5000 Nd
0.5000 0.0000 0.5000 Np
0.5000 0.5000 0.0000 Np
0.2559 0.5000 0.2465 S
0.2604 0.0000 0.7588 S
0.7396 0.0000 0.2412 S
0.7441 0.5000 0.7535 S
```



Entry 14:
Below is a relaxed structure of Nd3NpTl3S8, with properties calculated at the PBE level.

Its space group is R-3m. As for the volume: 29.92 Å³/atom.

Geometry as POSCAR:
```
Nd3NpTl3S8
1.0
4.1444 2.3928 7.5420
-4.1444 2.3928 7.5420
0.0000 -4.7855 7.5420
Nd Np Tl S
3 1 3 8
direct
0.0000 0.5000 0.5000 Nd
0.5000 0.0000 0.5000 Nd
0.5000 0.5000 0.0000 Nd
0.0000 0.0000 0.0000 Np
0.0000 0.0000 0.5000 Tl
0.0000 0.5000 0.0000 Tl
0.5000 0.0000 0.0000 Tl
0.2239 0.2239 0.7476 S
0.2239 0.7476 0.2239 S
0.2524 0.7761 0.7761 S
0.2654 0.2654 0.2654 S
0.7346 0.7346 0.7346 S
0.7476 0.2239 0.2239 S
0.7761 0.2524 0.7761 S
0.7761 0.7761 0.2524 S
```



Entry 15:
Below is a relaxed structure of Nd2NpTl2S6, with properties calculated at the PBE level.

Its space group is C2/m. As for the volume: 30.19 Å³/atom.

Geometry as POSCAR:
```
Nd2NpTl2S6
1.0
3.5783 -6.1705 0.0000
3.5783 6.1705 0.0000
-2.4194 0.0000 7.5193
Nd Np Tl S
2 1 2 6
direct
0.1663 0.8337 0.0000 Nd
0.8337 0.1663 0.0000 Nd
0.5000 0.5000 0.0000 Np
0.3311 0.6689 0.5000 Tl
0.6689 0.3311 0.5000 Tl
0.1153 0.4362 0.8038 S
0.2531 0.2531 0.1986 S
0.4362 0.1153 0.8038 S
0.5638 0.8847 0.1962 S
0.7469 0.7469 0.8014 S
0.8847 0.5638 0.1962 S
```



Entry 16:
Below is a relaxed structure of NdNp2Tl2S6, with properties calculated at the PBE level.

Its space group is C2/m. As for the volume: 29.42 Å³/atom.

Geometry as POSCAR:
```
NdNp2Tl2S6
1.0
3.5165 -6.1206 0.0000
3.5165 6.1206 0.0000
-2.2878 0.0000 7.5186
Nd Np Tl S
1 2 2 6
direct
0.0000 0.0000 0.0000 Nd
0.3342 0.6658 0.0000 Np
0.6658 0.3342 0.0000 Np
0.1647 0.8353 0.5000 Tl
0.8353 0.1647 0.5000 Tl
0.0601 0.4095 0.1940 S
0.2825 0.2825 0.8059 S
0.4095 0.0601 0.1940 S
0.5905 0.9399 0.8060 S
0.7175 0.7175 0.1941 S
0.9399 0.5905 0.8060 S
```



Entry 17:
Below is a relaxed structure of Nd2NpTl3S6, with properties calculated at the PBE level.

Its space group is C2/m. As for the volume: 27.97 Å³/atom.

Geometry as POSCAR:
```
Nd2NpTl3S6
1.0
3.5963 -6.2283 0.0000
3.5963 6.2283 0.0000
-2.3973 0.0000 7.4916
Nd Np Tl S
2 1 3 6
direct
0.1667 0.8333 0.0000 Nd
0.8333 0.1667 0.0000 Nd
0.5000 0.5000 0.0000 Np
0.0000 0.0000 0.5000 Tl
0.3325 0.6675 0.5000 Tl
0.6675 0.3325 0.5000 Tl
0.1066 0.4328 0.7985 S
0.2415 0.2415 0.2031 S
0.4328 0.1066 0.7985 S
0.5672 0.8934 0.2015 S
0.7585 0.7585 0.7969 S
0.8934 0.5672 0.2015 S
```



Entry 18:
Below is a relaxed structure of Nd3NpTl4S8, with properties calculated at the PBE level.

Its space group is R-3m. As for the volume: 28.07 Å³/atom.

Geometry as POSCAR:
```
Nd3NpTl4S8
1.0
4.1594 2.4014 7.4948
-4.1594 2.4014 7.4948
0.0000 -4.8029 7.4948
Nd Np Tl S
3 1 4 8
direct
0.0000 0.5000 0.5000 Nd
0.5000 0.0000 0.5000 Nd
0.5000 0.5000 0.0000 Nd
0.0000 0.0000 0.0000 Np
0.0000 0.0000 0.5000 Tl
0.0000 0.5000 0.0000 Tl
0.5000 0.0000 0.0000 Tl
0.5000 0.5000 0.5000 Tl
0.2307 0.2307 0.7403 S
0.2307 0.7403 0.2307 S
0.2597 0.7693 0.7693 S
0.2650 0.2650 0.2650 S
0.7350 0.7350 0.7350 S
0.7403 0.2307 0.2307 S
0.7693 0.2597 0.7693 S
0.7693 0.7693 0.2597 S
```



Entry 19:
Below is a relaxed structure of NdYNp2S4, with properties calculated at the PBE level.

Its space group is P2/m. As for the volume: 21.83 Å³/atom.

Geometry as POSCAR:
```
NdYNp2S4
1.0
6.8230 0.0000 0.0000
0.0000 3.9516 0.0000
-2.2862 0.0000 6.4782
Nd Y Np S
1 1 2 4
direct
0.0000 0.0000 0.0000 Nd
0.0000 0.5000 0.5000 Y
0.5000 0.0000 0.5000 Np
0.5000 0.5000 0.0000 Np
0.2553 0.0000 0.7460 S
0.2601 0.5000 0.2592 S
0.7399 0.5000 0.7408 S
0.7447 0.0000 0.2540 S
```



Entry 20:
Below is a relaxed structure of Nd4NpSb5, with properties calculated at the PBE level.

Its space group is I4/mmm. As for the volume: 32.24 Å³/atom.

Geometry as POSCAR:
```
Nd4NpSb5
1.0
-2.2519 2.2519 15.8943
2.2519 -2.2519 15.8943
2.2519 2.2519 -15.8943
Nd Np Sb
4 1 5
direct
0.1002 0.1002 0.0000 Nd
0.3004 0.3004 0.0000 Nd
0.6996 0.6996 0.0000 Nd
0.8998 0.8998 0.0000 Nd
0.5000 0.5000 0.0000 Np
0.0000 0.0000 0.0000 Sb
0.2000 0.2000 0.0000 Sb
0.4019 0.4019 0.0000 Sb
0.5981 0.5981 0.0000 Sb
0.8000 0.8000 0.0000 Sb
```



Calculated uncorrected energy (eV per atom), listed in the same order as above: -6.901 -9.048 -6.904 -7.204 -7.960 -7.041 -7.614 -8.885 -8.613 -6.600 -7.135 -7.314 -8.171 -5.904 -6.119 -6.732 -5.826 -5.694 -8.397 -6.246
Calculated ΔE_f (raw) (eV per atom), listed in the same order as above: -1.916 -1.535 -1.933 -1.573 -1.124 -1.840 -1.804 -1.494 -1.494 -1.806 -1.245 -1.857 -1.697 -1.413 -1.394 -1.264 -1.298 -1.336 -1.694 -0.983